1.
First-principles (PBE) data for a relaxed Ac4TbSn5 crystal, as listed in the Alexandria database.

The structure in POSCAR format:
```
Ac4TbSn5
1.0
-0.454 1.767 3.315
2.033 -2.693 1.714
18.919 11.893 -3.753
Ac Tb Sn
4 1 5
Direct
0.000 0.000 0.191 Ac
0.000 0.000 0.397 Ac
0.000 0.000 0.603 Ac
0.000 0.000 0.809 Ac
0.000 0.000 0.000 Tb
0.500 0.500 0.088 Sn
0.500 0.500 0.294 Sn
0.500 0.500 0.500 Sn
0.500 0.500 0.706 Sn
0.500 0.500 0.912 Sn
```

Summary:
energy of formation = -0.608 eV/atom
mass density = 8.5 g/cm3
Fermi-level density of states = 7.71 states/eV per cell
space-group type = No. 123
total energy = -4.715 eV per atom

2.
First-principles (PBE) data for a relaxed Ac2TbSn3 crystal, as listed in the Alexandria database.

The structure in POSCAR format:
```
Ac2TbSn3
1.0
6.674 0.000 0.000
0.000 7.746 0.003
-3.337 -1.937 8.170
Ac Tb Sn
4 2 6
Direct
0.668 0.584 0.338 Ac
0.670 0.084 0.338 Ac
0.330 0.916 0.662 Ac
0.332 0.416 0.662 Ac
0.996 0.750 0.000 Tb
0.004 0.250 0.000 Tb
0.505 0.250 0.000 Sn
0.495 0.750 0.000 Sn
0.158 0.079 0.313 Sn
0.845 0.421 0.687 Sn
0.155 0.579 0.313 Sn
0.842 0.921 0.687 Sn
```

Summary:
energy of formation = -0.509 eV/atom
mass density = 7.6 g/cm3
Fermi-level density of states = 9.80 states/eV per cell
space-group type = No. 15
total energy = -4.651 eV per atom

3.
First-principles (PBE) data for a relaxed AcTbSn crystal, as listed in the Alexandria database.

The structure in POSCAR format:
```
AcTbSn
1.0
5.406 0.000 0.000
2.703 4.682 0.000
2.703 1.561 4.414
Ac Tb Sn
1 1 1
Direct
0.500 0.500 0.500 Ac
0.000 0.000 0.000 Tb
0.250 0.250 0.250 Sn
```

Summary:
energy above the lowest structure with this stoichiometry = 0.67 eV/f.u.
energy of formation = -0.344 eV/atom
mass density = 7.5 g/cm3
Fermi-level density of states = 3.68 states/eV per cell
space-group type = No. 216
total energy = -4.592 eV per atom

4.
First-principles (PBE) data for a relaxed AcTb2Sn crystal, as listed in the Alexandria database.

The structure in POSCAR format:
```
AcTb2Sn
1.0
-4.675 1.541 0.110
-1.249 -3.990 2.812
0.969 2.642 4.179
Ac Tb Sn
1 2 1
Direct
0.500 0.500 0.500 Ac
0.000 0.000 0.500 Tb
0.000 0.500 0.000 Tb
0.500 0.000 0.000 Sn
```

Summary:
energy above the lowest structure with this stoichiometry = 0.00 eV/f.u.
energy of formation = -0.344 eV/atom
mass density = 8.8 g/cm3
Fermi-level density of states = 5.88 states/eV per cell
space-group type = No. 123
total energy = -4.687 eV per atom

5.
First-principles (PBE) data for a relaxed AcTbSn4 crystal, as listed in the Alexandria database.

The structure in POSCAR format:
```
AcTbSn4
1.0
-4.953 -3.301 -2.045
-4.209 -2.232 4.113
-5.771 2.496 0.264
Ac Tb Sn
1 1 4
Direct
0.250 0.250 0.250 Ac
0.000 0.000 0.000 Tb
0.626 0.626 0.122 Sn
0.626 0.122 0.626 Sn
0.626 0.626 0.626 Sn
0.122 0.626 0.626 Sn
```

Summary:
energy of formation = -0.328 eV/atom
mass density = 8.1 g/cm3
Fermi-level density of states = 7.94 states/eV per cell
space-group type = No. 216
total energy = -4.453 eV per atom

6.
First-principles (PBE) data for a relaxed Ac3TbSn3 crystal, as listed in the Alexandria database.

The structure in POSCAR format:
```
Ac3TbSn3
1.0
-4.916 -6.406 1.994
7.541 -2.347 -2.608
2.687 0.921 8.084
Ac Tb Sn
6 2 6
Direct
0.613 0.613 0.346 Ac
0.162 0.838 0.500 Ac
0.838 0.162 0.500 Ac
0.231 0.769 0.000 Ac
0.769 0.231 0.000 Ac
0.387 0.387 0.654 Ac
0.760 0.760 0.900 Tb
0.240 0.240 0.100 Tb
0.933 0.933 0.211 Sn
0.855 0.512 0.703 Sn
0.512 0.855 0.703 Sn
0.145 0.488 0.297 Sn
0.488 0.145 0.297 Sn
0.067 0.067 0.789 Sn
```

Summary:
energy of formation = -0.472 eV/atom
mass density = 7.3 g/cm3
Fermi-level density of states = 9.46 states/eV per cell
space-group type = No. 12
total energy = -4.609 eV per atom

7.
First-principles (PBE) data for a relaxed AcTb2Sn crystal, as listed in the Alexandria database.

The structure in POSCAR format:
```
AcTb2Sn
1.0
4.066 0.000 0.000
0.000 4.066 0.000
0.000 0.000 7.732
Ac Tb Sn
1 2 1
Direct
0.500 0.500 0.500 Ac
0.000 0.000 0.799 Tb
0.000 0.000 0.201 Tb
0.500 0.500 0.000 Sn
```

Summary:
energy above the lowest structure with this stoichiometry = 0.19 eV/f.u.
energy of formation = -0.296 eV/atom
mass density = 8.6 g/cm3
Fermi-level density of states = 5.86 states/eV per cell
space-group type = No. 123
total energy = -4.639 eV per atom

8.
First-principles (PBE) data for a relaxed Ac2Tb2Sn3 crystal, as listed in the Alexandria database.

The structure in POSCAR format:
```
Ac2Tb2Sn3
1.0
-3.326 2.973 -2.334
-2.510 -3.531 4.507
2.541 6.930 5.215
Ac Tb Sn
2 2 3
Direct
0.871 0.742 0.650 Ac
0.129 0.258 0.350 Ac
0.646 0.292 0.944 Tb
0.354 0.708 0.056 Tb
0.000 0.000 0.000 Sn
0.811 0.621 0.266 Sn
0.189 0.379 0.734 Sn
```

Summary:
energy of formation = -0.539 eV/atom
mass density = 7.3 g/cm3
Fermi-level density of states = 5.66 states/eV per cell
space-group type = No. 12
total energy = -4.751 eV per atom

9.
First-principles (PBE) data for a relaxed AcTb2Sn crystal, as listed in the Alexandria database.

The structure in POSCAR format:
```
AcTb2Sn
1.0
-0.207 -0.122 3.788
2.302 -2.302 1.953
8.042 7.091 2.569
Ac Tb Sn
1 2 1
Direct
0.500 0.500 0.500 Ac
0.072 0.072 0.785 Tb
0.262 0.262 0.214 Tb
0.667 0.667 0.000 Sn
```

Summary:
energy above the lowest structure with this stoichiometry = 0.68 eV/f.u.
energy of formation = -0.174 eV/atom
mass density = 8.2 g/cm3
Fermi-level density of states = 4.87 states/eV per cell
space-group type = No. 160
total energy = -4.517 eV per atom

10.
First-principles (PBE) data for a relaxed AcTbSn3 crystal, as listed in the Alexandria database.

The structure in POSCAR format:
```
AcTbSn3
1.0
-0.539 -2.275 -3.808
3.412 -2.754 1.163
-11.644 -7.983 6.416
Ac Tb Sn
2 2 6
Direct
0.250 0.079 0.157 Ac
0.750 0.921 0.843 Ac
0.250 0.795 0.589 Tb
0.750 0.205 0.411 Tb
0.250 0.371 0.742 Sn
0.750 0.629 0.258 Sn
0.250 0.470 0.940 Sn
0.750 0.530 0.060 Sn
0.750 0.307 0.613 Sn
0.250 0.693 0.387 Sn
```

Summary:
energy of formation = -0.592 eV/atom
mass density = 7.9 g/cm3
Fermi-level density of states = 7.09 states/eV per cell
space-group type = No. 63
total energy = -4.741 eV per atom

11.
First-principles (PBE) data for a relaxed AcTb4Sn4 crystal, as listed in the Alexandria database.

The structure in POSCAR format:
```
AcTb4Sn4
1.0
-3.700 4.212 -2.526
-7.970 -4.288 4.525
1.338 5.997 8.040
Ac Tb Sn
2 8 8
Direct
0.000 0.000 0.000 Ac
0.500 0.500 0.500 Ac
0.392 0.360 0.887 Tb
0.892 0.613 0.860 Tb
0.392 0.640 0.113 Tb
0.108 0.140 0.613 Tb
0.608 0.887 0.640 Tb
0.108 0.860 0.387 Tb
0.892 0.387 0.140 Tb
0.608 0.113 0.360 Tb
0.594 0.807 0.343 Sn
0.594 0.193 0.657 Sn
0.094 0.843 0.693 Sn
0.906 0.307 0.843 Sn
0.906 0.693 0.157 Sn
0.406 0.343 0.193 Sn
0.406 0.657 0.807 Sn
0.094 0.157 0.307 Sn
```

Summary:
energy of formation = -0.467 eV/atom
mass density = 7.1 g/cm3
Fermi-level density of states = 18.82 states/eV per cell
space-group type = No. 86
total energy = -4.761 eV per atom

12.
First-principles (PBE) data for a relaxed AcTbSn crystal, as listed in the Alexandria database.

The structure in POSCAR format:
```
AcTbSn
1.0
-1.498 -3.356 -2.050
2.248 -2.531 2.500
-4.586 2.676 3.291
Ac Tb Sn
1 1 1
Direct
0.326 0.326 0.651 Ac
0.026 0.026 0.052 Tb
0.648 0.648 0.296 Sn
```

Summary:
energy above the lowest structure with this stoichiometry = 0.56 eV/f.u.
energy of formation = -0.384 eV/atom
mass density = 8.6 g/cm3
Fermi-level density of states = 4.21 states/eV per cell
space-group type = No. 107
total energy = -4.631 eV per atom

Total magnetization per entry: 0.00; 0.00; 0.00; 0.00; 0.02; 0.00; 0.00; 0.00; 0.00; 0.00; 0.00; 0.00 μB per cell